Run one
Compound: BeSbAu2
Source: the Alexandria database
Functional: GGA-PBEsol
Structure: optimized geometry

extended XYZ file:
```
4
Lattice="-3.546 -2.896 0.757 -0.137 -2.534 3.885 -3.124 0.968 3.292" Properties=species:S:1:pos:R:3 pbc="T T T"
Sb -1.702 -1.115 1.984
Au 0.000 0.000 0.000
Au -5.105 -3.346 5.951
Be -3.403 -2.231 3.967
```

Magnetic moment, μB per formula unit: 0.00

---

Run two
Compound: BeSbAu2
Source: the Alexandria database
Functional: GGA-PBEsol
Structure: optimized geometry

extended XYZ file:
```
4
Lattice="-2.512 2.867 1.238 -3.113 -2.170 -1.290 2.541 -2.248 3.874" Properties=species:S:1:pos:R:3 pbc="T T T"
Sb 0.000 0.000 0.000
Au -1.391 0.484 2.543
Au -1.692 -2.034 1.279
Be -2.812 0.349 -0.026
```

Magnetic moment, μB per formula unit: 0.00

---

It turns out run two is the most stable, with the second structure 132 meV/atom higher.

---

Run one
Compound: BeSbAu2
Source: the Alexandria database
Functional: GGA-PBEsol
Structure: optimized geometry

extended XYZ file:
```
4
Lattice="3.894 0.000 0.000 -1.947 3.372 0.000 0.000 0.000 5.471" Properties=species:S:1:pos:R:3 pbc="T T T"
Sb 0.000 0.000 2.735
Au 0.000 2.248 4.582
Au 1.947 1.124 0.889
Be 0.000 0.000 0.000
```

Magnetic moment, μB per formula unit: 0.00

---

Run two
Compound: BeSbAu2
Source: the Alexandria database
Functional: GGA-PBEsol
Structure: optimized geometry

extended XYZ file:
```
4
Lattice="4.089 0.000 0.000 0.000 4.118 -0.014 0.000 -0.654 4.452" Properties=species:S:1:pos:R:3 pbc="T T T"
Sb 2.045 0.379 3.160
Au 0.000 3.860 0.048
Au 2.045 2.349 1.205
Be 0.000 2.728 2.229
```

Magnetic moment, μB per formula unit: 0.00

---

It turns out run one is the most stable, with the second structure 122 meV/atom higher.

---

Run one
Compound: BeAuSe2
Source: the Alexandria database
Functional: GGA-PBEsol
Structure: optimized geometry

extended XYZ file:
```
4
Lattice="-1.358 3.160 0.375 -3.198 -1.707 2.801 3.409 0.972 4.156" Properties=species:S:1:pos:R:3 pbc="T T T"
Be 1.370 2.104 3.195
Au 0.358 -0.293 3.766
Se 2.612 0.626 4.193
Se -1.973 0.594 3.812
```

Magnetic moment, μB per formula unit: 0.00

---

Run two
Compound: BeAuSe2
Source: the Alexandria database
Functional: GGA-PBEsol
Structure: optimized geometry

extended XYZ file:
```
8
Lattice="-1.870 -0.852 -5.199 0.489 -5.521 0.728 -4.185 2.990 4.021" Properties=species:S:1:pos:R:3 pbc="T T T"
Be -3.373 -0.524 -1.706
Be -0.691 -3.186 -2.235
Au -2.194 -2.859 1.257
Au 0.000 0.000 0.000
Se -2.409 -2.027 -3.018
Se -1.411 -4.444 -0.559
Se -4.026 -1.472 0.187
Se -3.288 1.178 2.493
```

Magnetic moment, μB per formula unit: 0.00

---

It turns out run two is the most stable, with the second structure 73 meV/atom higher.

---

Run one
Compound: SrBeAu3
Source: the Alexandria database
Functional: GGA-PBEsol
Structure: optimized geometry

extended XYZ file:
```
5
Lattice="-0.230 -4.533 0.749 2.315 -0.762 -3.902 3.969 0.182 2.319" Properties=species:S:1:pos:R:3 pbc="T T T"
Sr 3.027 -2.556 -0.417
Au 1.158 -0.381 -1.951
Au 1.984 0.091 1.160
Au -0.115 -2.267 0.375
Be 0.000 0.000 0.000
```

Magnetic moment, μB per formula unit: 0.00

---

Run two
Compound: SrBeAu3
Source: the Alexandria database
Functional: GGA-PBEsol
Structure: optimized geometry

extended XYZ file:
```
5
Lattice="-1.811 -0.380 -5.247 -4.114 -3.356 1.663 -3.278 4.421 0.811" Properties=species:S:1:pos:R:3 pbc="T T T"
Sr 0.000 0.000 0.000
Au -2.057 -1.678 0.832
Au -1.639 2.211 0.406
Au -0.905 -0.190 -2.623
Be -4.602 0.343 -1.386
```

Magnetic moment, μB per formula unit: 0.00

---

It turns out run one is the most stable, with the second structure 1773 meV/atom higher.

---

Run one
Compound: Be2TlAu
Source: the Alexandria database
Functional: GGA-PBEsol
Structure: optimized geometry

extended XYZ file:
```
4
Lattice="4.038 -0.004 0.000 -2.013 3.500 0.000 0.000 0.000 5.090" Properties=species:S:1:pos:R:3 pbc="T T T"
Be -1.861 3.412 0.000
Be 0.140 2.254 0.000
Tl 0.562 2.009 2.545
Au 2.184 1.070 0.000
```

Magnetic moment, μB per formula unit: 0.00

---

Run two
Compound: Be2TlAu
Source: the Alexandria database
Functional: GGA-PBEsol
Structure: optimized geometry

extended XYZ file:
```
4
Lattice="-0.233 -3.299 -1.868 2.338 -1.598 2.531 -4.306 1.365 1.989" Properties=species:S:1:pos:R:3 pbc="T T T"
Be 0.000 0.000 0.000
Be -1.743 -2.192 0.226
Tl 1.053 -2.449 0.332
Au -0.458 -1.341 2.426
```

Magnetic moment, μB per formula unit: 0.00

---

Run three
Compound: Be2TlAu
Source: the Alexandria database
Functional: GGA-PBEsol
Structure: optimized geometry

extended XYZ file:
```
4
Lattice="-0.560 2.686 -3.231 0.883 -4.229 -0.888 -3.109 -2.458 -1.505" Properties=species:S:1:pos:R:3 pbc="T T T"
Be -0.476 -2.057 -1.628
Be -2.310 -1.943 -3.996
Tl -1.834 0.114 -2.368
Au 0.000 0.000 0.000
```

Magnetic moment, μB per formula unit: 0.00

---

Run four
Compound: Be2TlAu
Source: the Alexandria database
Functional: GGA-PBEsol
Structure: optimized geometry

extended XYZ file:
```
8
Lattice="4.332 0.000 0.000 0.000 4.332 0.000 -2.166 -2.166 7.888" Properties=species:S:1:pos:R:3 pbc="T T T"
Be 1.083 0.000 5.916
Be -1.083 0.000 5.916
Be 2.166 3.249 1.972
Be 2.166 1.083 1.972
Tl 0.000 0.000 0.000
Tl 0.000 2.166 3.944
Au 2.166 2.166 0.000
Au 2.166 0.000 3.944
```

Magnetic moment, μB per formula unit: 0.00

---

It turns out run one is the most stable, with the second structure 249 meV/atom higher.

---

Run one
Compound: BeZnAu2
Source: the Alexandria database
Functional: GGA-PBEsol
Structure: optimized geometry

extended XYZ file:
```
4
Lattice="-1.678 -1.937 -1.470 -1.738 -1.358 3.771 -1.741 4.402 -0.844" Properties=species:S:1:pos:R:3 pbc="T T T"
Be -1.626 -1.570 0.955
Zn -2.538 0.538 2.188
Au -5.051 1.103 1.343
Au -2.805 0.495 -0.420
```

Magnetic moment, μB per formula unit: 0.00

---

Run two
Compound: BeZnAu2
Source: the Alexandria database
Functional: GGA-PBEsol
Structure: optimized geometry

extended XYZ file:
```
4
Lattice="2.858 0.000 0.000 1.429 2.475 0.000 1.429 0.825 8.140" Properties=species:S:1:pos:R:3 pbc="T T T"
Be 2.858 1.650 4.070
Zn 0.000 0.000 0.000
Au 1.429 0.825 2.254
Au 4.286 2.475 5.886
```

Magnetic moment, μB per formula unit: 0.00

---

Run three
Compound: BeZnAu2
Source: the Alexandria database
Functional: GGA-PBEsol
Structure: optimized geometry

extended XYZ file:
```
4
Lattice="3.121 0.000 0.000 0.000 3.121 0.000 0.000 0.000 5.831" Properties=species:S:1:pos:R:3 pbc="T T T"
Be 0.000 0.000 2.837
Zn 1.560 1.560 4.302
Au 0.000 0.000 5.669
Au 1.560 1.560 1.769
```

Magnetic moment, μB per formula unit: 0.00

---

It turns out run one is the most stable, with the second structure 32 meV/atom higher.

---

Run one
Compound: BeZnAu2
Source: the Alexandria database
Functional: GGA-PBEsol
Structure: optimized geometry

extended XYZ file:
```
4
Lattice="-2.402 -1.617 3.170 1.877 -3.829 -0.531 2.406 3.495 0.698" Properties=species:S:1:pos:R:3 pbc="T T T"
Be -1.201 -0.809 1.585
Zn 0.939 -1.914 -0.265
Au 0.810 -2.337 2.330
Au 1.071 0.385 1.008
```

Magnetic moment, μB per formula unit: 0.00

---

Run two
Compound: BeZnAu2
Source: the Alexandria database
Functional: GGA-PBEsol
Structure: optimized geometry

extended XYZ file:
```
4
Lattice="3.354 0.000 0.000 0.000 3.960 0.000 -1.677 -1.980 4.265" Properties=species:S:1:pos:R:3 pbc="T T T"
Be 0.000 0.000 4.108
Zn 0.000 1.980 1.971
Au 0.000 0.000 0.078
Au 1.677 0.000 2.372
```

Magnetic moment, μB per formula unit: 0.00

---

Run three
Compound: BeZnAu2
Source: the Alexandria database
Functional: GGA-PBEsol
Structure: optimized geometry

extended XYZ file:
```
4
Lattice="-1.009 -2.094 3.684 2.288 -3.503 1.211 2.670 0.224 3.434" Properties=species:S:1:pos:R:3 pbc="T T T"
Be 1.975 -2.686 4.165
Zn 0.987 -1.343 2.082
Au 0.000 0.000 0.000
Au 2.962 -4.029 6.247
```

Magnetic moment, μB per formula unit: 0.00

---

It turns out run one is the most stable, with the second structure 6 meV/atom higher.

---

Run one
Compound: Be2ZnAu2
Source: the Alexandria database
Functional: GGA-PBEsol
Structure: optimized geometry

extended XYZ file:
```
10
Lattice="-2.579 1.154 -0.444 -1.137 0.057 6.748 2.731 6.261 0.407" Properties=species:S:1:pos:R:3 pbc="T T T"
Be 0.305 4.613 1.007
Be 0.319 5.977 4.468
Be -1.289 2.859 5.704
Be -1.304 1.495 2.243
Zn 0.000 0.000 0.000
Zn 0.797 3.159 3.578
Au 1.920 5.326 2.690
Au 0.819 4.134 5.984
Au -0.325 0.992 4.465
Au 0.776 2.184 1.171
```

Magnetic moment, μB per formula unit: 0.00

---

Run two
Compound: Be2ZnAu2
Source: the Alexandria database
Functional: GGA-PBEsol
Structure: optimized geometry

extended XYZ file:
```
5
Lattice="3.268 0.000 0.000 0.000 3.268 0.000 -1.634 -1.634 6.261" Properties=species:S:1:pos:R:3 pbc="T T T"
Be 0.000 1.634 3.131
Be 1.634 0.000 3.131
Zn 0.000 0.000 0.000
Au 0.000 0.000 4.829
Au 1.634 1.634 1.433
```

Magnetic moment, μB per formula unit: 0.00

---

It turns out run two is the most stable, with the second structure 36 meV/atom higher.

---

Run one
Compound: Cd2BiAu2
Source: the Alexandria database
Functional: GGA-PBEsol
Structure: optimized geometry

extended XYZ file:
```
10
Lattice="3.152 0.000 0.000 0.000 8.121 0.000 0.000 0.000 8.121" Properties=species:S:1:pos:R:3 pbc="T T T"
Au 0.000 2.998 7.059
Au 0.000 7.059 5.123
Au 0.000 5.123 1.062
Au 0.000 1.062 2.998
Bi 0.000 0.000 0.000
Bi 0.000 4.061 4.061
Cd 1.576 1.336 5.397
Cd 1.576 5.397 6.785
Cd 1.576 6.785 2.724
Cd 1.576 2.724 1.336
```

Magnetic moment, μB per formula unit: 0.00

---

Run two
Compound: Cd2BiAu2
Source: the Alexandria database
Functional: GGA-PBEsol
Structure: optimized geometry

extended XYZ file:
```
5
Lattice="-3.214 -0.026 -2.440 2.412 -0.645 -3.170 -0.207 -6.217 3.675" Properties=species:S:1:pos:R:3 pbc="T T T"
Au -0.484 -5.221 0.693
Au -0.524 -1.667 -2.628
Bi 0.000 0.000 0.000
Cd 0.902 -3.598 -1.150
Cd -1.911 -3.289 -0.785
```

Magnetic moment, μB per formula unit: 0.00

---

It turns out run one is the most stable, with the second structure 33 meV/atom higher.

---

Run one
Compound: BiPAuCl2
Source: the Alexandria database
Functional: GGA-PBEsol
Structure: optimized geometry

extended XYZ file:
```
5
Lattice="-1.813 3.569 -1.981 -1.159 -2.529 -3.495 -5.132 -1.186 2.560" Properties=species:S:1:pos:R:3 pbc="T T T"
P 0.000 0.000 0.000
Au -4.052 -0.073 -1.458
Bi -2.566 -0.593 1.280
Cl -0.580 -1.265 -1.747
Cl -0.907 1.785 -0.991
```

Magnetic moment, μB per formula unit: 0.00

---

Run two
Compound: BiPAuCl2
Source: the Alexandria database
Functional: GGA-PBEsol
Structure: optimized geometry

extended XYZ file:
```
5
Lattice="-1.493 -1.924 -4.165 -0.949 -4.155 2.259 -4.601 1.556 0.930" Properties=species:S:1:pos:R:3 pbc="T T T"
P -2.300 0.778 0.465
Au 0.000 0.000 0.000
Bi -3.521 -2.262 -0.487
Cl -0.474 -2.078 1.130
Cl -0.746 -0.962 -2.082
```

Magnetic moment, μB per formula unit: 0.00

---

It turns out run one is the most stable, with the second structure 132 meV/atom higher.

---

Run one
Compound: CoBi2Au
Source: the Alexandria database
Functional: GGA-PBEsol
Structure: optimized geometry

extended XYZ file:
```
8
Lattice="4.928 0.000 0.000 0.000 4.928 0.000 -2.464 -2.464 7.996" Properties=species:S:1:pos:R:3 pbc="T T T"
Co 2.464 0.000 3.998
Co 2.464 2.464 0.000
Au 0.000 2.464 3.998
Au 0.000 0.000 0.000
Bi 1.417 3.696 1.999
Bi 3.511 1.232 1.999
Bi -1.232 -1.047 5.997
Bi 1.232 1.047 5.997
```

Magnetic moment, μB per formula unit: 0.04

---

Run two
Compound: CoBi2Au
Source: the Alexandria database
Functional: GGA-PBEsol
Structure: optimized geometry

extended XYZ file:
```
4
Lattice="-1.892 -1.794 4.145 -2.650 -4.117 -0.099 1.806 -4.121 1.933" Properties=species:S:1:pos:R:3 pbc="T T T"
Co 0.000 0.000 0.000
Au -1.368 -5.016 2.990
Bi -0.684 -2.508 1.495
Bi -2.052 -7.524 4.485
```

Magnetic moment, μB per formula unit: 0.75

---

It turns out run two is the most stable, with the second structure 59 meV/atom higher.

---

Run one
Compound: HgBi2Au2
Source: the Alexandria database
Functional: GGA-PBEsol
Structure: optimized geometry

extended XYZ file:
```
5
Lattice="-2.557 -1.580 -2.393 2.758 -0.476 -2.633 1.604 -6.492 5.656" Properties=species:S:1:pos:R:3 pbc="T T T"
Au 2.231 -3.997 0.255
Au -0.426 -4.550 0.375
Bi 1.324 -5.842 2.442
Bi 0.480 -2.705 -1.812
Hg 0.000 0.000 0.000
```

Magnetic moment, μB per formula unit: 0.00

---

Run two
Compound: HgBi2Au2
Source: the Alexandria database
Functional: GGA-PBEsol
Structure: optimized geometry

extended XYZ file:
```
10
Lattice="4.204 0.000 0.000 0.000 7.460 0.000 0.000 0.000 7.460" Properties=species:S:1:pos:R:3 pbc="T T T"
Au 0.000 2.743 6.473
Au 0.000 6.473 4.717
Au 0.000 4.717 0.987
Au 0.000 0.987 2.743
Bi 2.102 1.278 5.008
Bi 2.102 5.008 6.182
Bi 2.102 6.182 2.452
Bi 2.102 2.452 1.278
Hg 0.000 0.000 0.000
Hg 0.000 3.730 3.730
```

Magnetic moment, μB per formula unit: 0.00

---

It turns out run two is the most stable, with the second structure 30 meV/atom higher.